No. 1
{
  "formula": "RbTlAsPt",
  "functional": "PBE-GGA",
  "state": "optimized geometry",
  "delta_e_f_ev_per_atom": -0.365,
  "density_g_cm3": 7.82,
  "dft_energy_ev_per_atom": -3.871,
  "lattice_angstrom": [[4.255, -0.014, -0.007], [-2.115, 3.692, 0.007], [-2.118, -1.229, 7.582]],
  "species": ["Pt", "Tl", "As", "Rb"],
  "fractional_positions": [[0.811, 0.270, 0.082], [0.982, 0.856, 0.838], [0.506, 0.617, 0.123], [0.393, 0.061, 0.454]]
}

No. 2
{
  "formula": "CuGe2Se",
  "functional": "PBE-GGA",
  "state": "optimized geometry",
  "density_g_cm3": 5.05,
  "dft_energy_ev_per_atom": -4.071,
  "raw_formation_energy_ev_per_fu": 0.5,
  "lattice_angstrom": [[5.776, 0.000, 0.000], [0.000, 5.776, 0.000], [2.888, 2.888, 5.668]],
  "species": ["Cu", "Cu", "Ge", "Ge", "Ge", "Ge", "Se", "Se"],
  "fractional_positions": [[0.250, 0.750, 0.500], [0.500, 0.500, 0.000], [0.875, 0.837, 0.750], [0.375, 0.413, 0.750], [0.163, 0.625, 0.250], [0.587, 0.125, 0.250], [0.750, 0.250, 0.500], [0.000, 0.000, 0.000]]
}

No. 3
{
  "formula": "Ti2InGa",
  "functional": "PBE-GGA",
  "state": "optimized geometry",
  "delta_e_f_ev_per_atom": 0.077,
  "density_g_cm3": 6.08,
  "dft_energy_ev_per_atom": -5.311,
  "e_above_lowest_polymorph_mev_per_atom": 396,
  "lattice_angstrom": [[7.368, 0.000, 0.000], [0.000, 7.368, 0.000], [3.684, 3.684, 2.820]],
  "species": ["Ga", "Ga", "In", "In", "Ti", "Ti", "Ti", "Ti"],
  "fractional_positions": [[0.500, 0.500, 0.000], [0.250, 0.750, 0.500], [0.000, 0.000, 0.000], [0.750, 0.250, 0.500], [0.609, 0.125, 0.250], [0.875, 0.859, 0.750], [0.141, 0.625, 0.250], [0.375, 0.391, 0.750]]
}

No. 4
{
  "formula": "Sc2CdNi",
  "functional": "PBE-GGA",
  "state": "optimized geometry",
  "delta_e_f_ev_per_atom": -0.190,
  "density_g_cm3": 5.56,
  "dft_energy_ev_per_atom": -5.030,
  "lattice_angstrom": [[3.333, 0.000, 0.000], [0.000, 3.333, 0.000], [0.000, 0.000, 7.012]],
  "species": ["Sc", "Sc", "Cd", "Ni"],
  "fractional_positions": [[0.000, 0.000, 0.947], [0.500, 0.500, 0.258], [0.000, 0.000, 0.532], [0.500, 0.500, 0.763]]
}